{
  "formula": "TaBiIO6",
  "functional": "GGA-PBE",
  "state": "optimized geometry",
  "lattice": [[5.6891, 0.0000, 0.0000], [-2.8445, 4.9269, 0.0000], [0.0000, 0.0000, 9.5715]],
  "species": ["Ta", "Ta", "Bi", "Bi", "I", "I", "O", "O", "O", "O", "O", "O", "O", "O", "O", "O", "O", "O"],
  "frac_coords": [[0.3333, 0.6667, 0.2500], [0.6667, 0.3333, 0.7500], [0.0000, 0.0000, 0.0000], [0.0000, 0.0000, 0.5000], [0.3333, 0.6667, 0.7500], [0.6667, 0.3333, 0.2500], [0.0302, 0.3675, 0.1400], [0.0302, 0.6627, 0.3600], [0.3373, 0.3675, 0.3600], [0.3373, 0.9698, 0.1400], [0.3675, 0.0302, 0.6400], [0.3675, 0.3373, 0.8600], [0.6325, 0.6627, 0.1400], [0.6325, 0.9698, 0.3600], [0.6627, 0.0302, 0.8600], [0.6627, 0.6325, 0.6400], [0.9698, 0.3373, 0.6400], [0.9698, 0.6325, 0.8600]],
  "magnetic_moment_mub_per_atom": 0.112,
  "raw_formation_energy_ev_per_atom": -1.30
}